(1)
Crystalline Sr2Ni2As2H at its relaxed geometry, computed with PBE.

Geometry as extended XYZ:
```
7
Lattice="-1.718 -2.114 -3.116 4.193 -2.669 -3.250 -0.080 -6.089 1.427" Properties=species:S:1:pos:R:3 pbc="T T T"
Sr -0.145 -5.970 -1.367
Sr 2.540 -4.903 -3.572
Ni 2.662 -7.860 -1.632
Ni -0.266 -3.013 -3.307
As 1.193 -2.835 -1.483
As 1.202 -8.038 -3.456
H 0.000 0.000 0.000
```

Values from the calculation:
**Space group**: C2/m (12)
**Uncorrected energy**: -4.604 eV per atom

=====

(2)
Crystalline TaNi2AsH at its relaxed geometry, computed with PBE.

Geometry as extended XYZ:
```
5
Lattice="3.720 0.000 0.000 0.000 3.720 0.000 0.000 0.000 4.120" Properties=species:S:1:pos:R:3 pbc="T T T"
Ni 0.000 1.860 0.000
Ni 1.860 0.000 0.000
As 1.860 1.860 2.060
H 0.000 0.000 0.000
Ta 0.000 0.000 2.060
```

Values from the calculation:
**Space group**: P4/mmm (123)
**Uncorrected energy**: -6.413 eV per atom

=====

(3)
Crystalline TbNiAsH at its relaxed geometry, computed with PBE.

Geometry as extended XYZ:
```
4
Lattice="-2.402 2.995 1.368 1.232 -2.943 2.536 3.192 2.136 0.929" Properties=species:S:1:pos:R:3 pbc="T T T"
Tb -0.183 1.967 1.442
Ni 2.753 1.143 2.333
As 1.364 2.025 4.033
H 0.871 -0.117 1.786
```

Values from the calculation:
**Space group**: P3m1 (156)
**Uncorrected energy**: -5.505 eV per atom

=====

Number 1: calculated density 5542 kg/m³, density of states at the Fermi level 4.67 states/eV/f.u.. Number 2: calculated density 10900 kg/m³, density of states at the Fermi level 4.00 states/eV/f.u.. Number 3: calculated density 8576 kg/m³, density of states at the Fermi level 1.56 states/eV/f.u..